No. 1
Ce4CoAu: relaxed, PBE. Values from VASP.

```
&SYSTEM
  ibrav = 0, nat = 12, ntyp = 3
/
ATOMIC_SPECIES
Ce 140.12 Ce.upf
Co 58.93 Co.upf
Au 196.97 Au.upf
CELL_PARAMETERS angstrom
5.687 0.000 0.000
0.000 6.480 0.000
-2.068 0.000 7.787
ATOMIC_POSITIONS crystal
Ce 0.129 0.250 0.052
Ce 0.214 0.750 0.372
Ce 0.342 0.533 0.764
Ce 0.342 0.967 0.764
Ce 0.658 0.033 0.236
Ce 0.658 0.467 0.236
Ce 0.786 0.250 0.628
Ce 0.871 0.750 0.948
Co 0.327 0.750 0.075
Co 0.673 0.250 0.925
Au 0.223 0.250 0.432
Au 0.777 0.750 0.568
```

Crystal system   monoclinic
Polymorph energy (0 for the lowest one)   0.000 eV/atom

---

No. 2
Ce2CoAu: relaxed, PBE. Values from VASP.

```
&SYSTEM
  ibrav = 0, nat = 4, ntyp = 3
/
ATOMIC_SPECIES
Ce 140.12 Ce.upf
Co 58.93 Co.upf
Au 196.97 Au.upf
CELL_PARAMETERS angstrom
1.934 1.116 7.311
-1.934 1.116 7.311
0.000 -2.233 7.311
ATOMIC_POSITIONS crystal
Ce 0.237 0.237 0.237
Ce 0.763 0.763 0.763
Co 0.500 0.500 0.500
Au 0.000 0.000 0.000
```

Crystal system   trigonal

---

No. 3
Ce6CoAu2: relaxed, PBE. Values from VASP.

```
&SYSTEM
  ibrav = 0, nat = 9, ntyp = 3
/
ATOMIC_SPECIES
Ce 140.12 Ce.upf
Co 58.93 Co.upf
Au 196.97 Au.upf
CELL_PARAMETERS angstrom
3.595 0.000 0.000
0.000 7.312 4.204
0.000 -7.312 4.204
ATOMIC_POSITIONS crystal
Ce 0.000 0.000 0.000
Ce 0.000 0.522 0.760
Ce 0.000 0.760 0.522
Ce 0.500 0.168 0.763
Ce 0.500 0.351 0.351
Ce 0.500 0.763 0.168
Co 0.500 0.760 0.760
Au 0.000 0.094 0.429
Au 0.000 0.429 0.094
```

Crystal system   orthorhombic
Polymorph energy (0 for the lowest one)   0.000 eV/atom

---

No. 4
Ce7Co2Au2: relaxed, PBE. Values from VASP.

```
&SYSTEM
  ibrav = 0, nat = 11, ntyp = 3
/
ATOMIC_SPECIES
Ce 140.12 Ce.upf
Co 58.93 Co.upf
Au 196.97 Au.upf
CELL_PARAMETERS angstrom
-1.805 7.703 4.815
1.805 -7.703 4.815
1.805 7.703 -4.815
ATOMIC_POSITIONS crystal
Ce 0.000 0.000 0.000
Ce 0.294 0.427 0.867
Ce 0.313 0.630 0.683
Ce 0.560 0.427 0.133
Ce 0.611 0.265 0.346
Ce 0.919 0.265 0.654
Ce 0.946 0.630 0.317
Co 0.176 0.945 0.231
Co 0.714 0.945 0.769
Au 0.270 0.770 0.500
Au 0.674 0.674 0.000
```

Crystal system   orthorhombic
Polymorph energy (0 for the lowest one)   0.000 eV/atom

---

No. 5
Ce2DyCoAu: relaxed, PBE. Values from VASP.

```
&SYSTEM
  ibrav = 0, nat = 5, ntyp = 4
/
ATOMIC_SPECIES
Ce 140.12 Ce.upf
Dy 162.50 Dy.upf
Co 58.93 Co.upf
Au 196.97 Au.upf
CELL_PARAMETERS angstrom
4.888 0.000 0.000
0.000 4.888 0.000
0.000 0.000 5.485
ATOMIC_POSITIONS crystal
Ce 0.000 0.500 0.000
Ce 0.500 0.000 0.000
Dy 0.000 0.000 0.512
Co 0.000 0.000 0.013
Au 0.500 0.500 0.585
```

Crystal system   tetragonal

---

No. 6
CeErCoAu: relaxed, PBE. Values from VASP.

```
&SYSTEM
  ibrav = 0, nat = 4, ntyp = 4
/
ATOMIC_SPECIES
Ce 140.12 Ce.upf
Er 167.26 Er.upf
Co 58.93 Co.upf
Au 196.97 Au.upf
CELL_PARAMETERS angstrom
0.000 3.509 3.509
3.509 0.000 3.509
3.509 3.509 0.000
ATOMIC_POSITIONS crystal
Ce 0.000 0.000 0.000
Er 0.500 0.500 0.500
Co 0.750 0.750 0.750
Au 0.250 0.250 0.250
```

Crystal system   cubic

---

Taking the records one at a time from the top gives ΔH_f (0 K) values of -1.5 -1.4 -3.0 -3.0 -1.1 -1.4 eV per formula unit.
Taking the records one at a time from the top gives density values of 9.447 9.400 9.717 9.257 8.853 10.822 g/cm3.
Taking the records one at a time from the top gives calculated total energy values of -35.62 -23.64 -52.27 -65.27 -27.93 -22.29 eV/f.u..